# PuTePd4, optimized geometry, DFT PBE
# Distance to the lowest polymorph of the same formula, eV per atom: 0.000
# D(E_F), states/eV per cell: 69.35
# E_tot, eV/cell: -162.2
# Formation energy (no corrections), eV/atom: -0.384
data_PuTePd4
_cell_length_a 7.683
_cell_length_b 7.683
_cell_length_c 7.683
_cell_angle_alpha 90.00
_cell_angle_beta 90.00
_cell_angle_gamma 90.00
_space_group_name_H-M_alt 'F -4 3 m'
_space_group_IT_number 216
_space_group_name_Hall 'F -4 2 3'
loop_
_atom_site_label
_atom_site_fract_x
_atom_site_fract_y
_atom_site_fract_z
Pu1 0.000 0.000 0.000
Te1 0.250 0.250 0.750
Pd1 0.126 0.126 0.374

=====

# Pu2TePd9, optimized geometry, DFT PBE
# D(E_F), states/eV per cell: 34.55
# E_tot, eV/cell: -83.7
# Formation energy (no corrections), eV/atom: -0.429
data_Pu2TePd9
_cell_length_a 4.138
_cell_length_b 4.138
_cell_length_c 12.338
_cell_angle_alpha 90.00
_cell_angle_beta 90.00
_cell_angle_gamma 90.00
_space_group_name_H-M_alt 'P 4/m m m'
_space_group_IT_number 123
_space_group_name_Hall '-P 4 2'
loop_
_atom_site_label
_atom_site_fract_x
_atom_site_fract_y
_atom_site_fract_z
Pu1 0.000 0.000 0.169
Te1 0.000 0.000 0.500
Pd1 0.000 0.500 0.000
Pd2 0.000 0.500 0.334
Pd3 0.500 0.500 0.169
Pd4 0.500 0.500 0.500

=====

Question: What is the formation energy (no corrections) in the first record?
Answer: -0.384 eV/atom

=====

Question: The lowest D(E_F) belongs to which entry?
Answer: Pu2TePd9

=====

Question: Among the records above, which one has the highest D(E_F)?
Answer: PuTePd4

=====

Question: What is the E_tot in the first record?
Answer: -162.2 eV/cell